# 1
Material: BAs2SBr
Method: DFT, PBE
State: optimized geometry

Structure (POSCAR):
```
BAs2SBr
1.0
-1.005 -4.695 -0.577
4.419 -0.721 -1.828
1.829 -0.983 4.810
As B S Br
2 1 1 1
Direct
0.000 0.500 0.000 As
0.500 0.000 0.000 As
0.500 0.500 0.500 B
0.000 0.000 0.000 S
0.000 0.000 0.500 Br
```

* total moment: 0.8 μB/f.u.
* E_tot: -14.04 eV/cell

# 2
Material: La4RhI2N
Method: DFT, PBE
State: optimized geometry

Structure (POSCAR):
```
La4RhI2N
1.0
-1.669 2.487 -2.676
-6.403 -1.151 2.923
3.339 6.598 4.051
La Rh I N
4 1 2 1
Direct
0.500 0.255 0.179 La
0.500 0.745 0.821 La
0.000 0.298 0.823 La
0.000 0.702 0.177 La
0.000 0.000 0.000 Rh
0.500 0.000 0.500 I
0.000 0.500 0.500 I
0.500 0.500 0.000 N
```

* total moment: 0.0 μB/f.u.
* E_tot: -47.09 eV/cell

# 3
Material: MgBiTe2Se
Method: DFT, PBE
State: optimized geometry

Structure (POSCAR):
```
MgBiTe2Se
1.0
-0.833 5.328 1.534
-4.838 -0.940 0.635
0.971 -1.387 5.345
Mg Te Bi Se
1 2 1 1
Direct
0.000 0.500 0.000 Mg
0.000 0.000 0.500 Te
0.500 0.000 0.000 Te
0.500 0.500 0.500 Bi
0.000 0.000 0.000 Se
```

* total moment: 0.0 μB/f.u.
* E_tot: -14.53 eV/cell

# 4
Material: ZnIrSe
Method: DFT, PBE
State: optimized geometry

Structure (POSCAR):
```
ZnIrSe
1.0
-1.068 -2.351 -3.375
1.659 -3.881 -0.497
-2.450 -3.437 0.494
Ir Se Zn
1 1 1
Direct
0.750 0.750 0.750 Ir
0.000 0.000 0.000 Se
0.500 0.500 0.500 Zn
```

* total moment: 0.0 μB/f.u.
* E_tot: -13.43 eV/cell

# 5
Material: Sc2Zn5Cu5
Method: DFT, PBE
State: optimized geometry

Structure (POSCAR):
```
Sc2Zn5Cu5
1.0
-2.882 -1.807 2.418
3.624 -1.977 2.841
-0.146 7.010 5.065
Sc Zn Cu
2 5 5
Direct
0.000 0.500 0.000 Sc
0.000 0.000 0.500 Sc
0.500 0.500 0.500 Zn
0.500 0.750 0.245 Zn
0.500 0.250 0.755 Zn
0.500 0.250 0.245 Zn
0.500 0.750 0.755 Zn
0.000 0.500 0.334 Cu
0.000 0.000 0.836 Cu
0.000 0.000 0.164 Cu
0.000 0.500 0.666 Cu
0.500 0.000 0.000 Cu
```

* total moment: 0.0 μB/f.u.
* ΔE_f: -0.225 eV/atom

# 6
Material: Hf5CoSn
Method: DFT, PBE
State: optimized geometry

Structure (POSCAR):
```
Hf5CoSn
1.0
-3.815 -3.188 5.567
-3.407 -5.761 -3.302
2.962 -5.761 1.808
Hf Co Sn
10 2 2
Direct
0.772 0.748 0.242 Hf
0.114 0.651 0.428 Hf
0.748 0.772 0.742 Hf
0.822 0.178 0.250 Hf
0.349 0.886 0.072 Hf
0.651 0.114 0.928 Hf
0.178 0.822 0.750 Hf
0.252 0.228 0.258 Hf
0.886 0.349 0.572 Hf
0.228 0.252 0.758 Hf
0.000 0.000 0.000 Co
0.000 0.000 0.500 Co
0.517 0.483 0.250 Sn
0.483 0.517 0.750 Sn
```

* total moment: 0.0 μB/f.u.
* ΔE_f: 0.256 eV/atom

# 7
Material: CdCuRu2
Method: DFT, PBE
State: optimized geometry

Structure (POSCAR):
```
CdCuRu2
1.0
-4.482 -1.984 0.128
-3.589 -1.882 2.761
-2.721 3.761 0.776
Cd Cu Ru
1 1 2
Direct
0.750 0.750 0.750 Cd
0.250 0.250 0.250 Cu
0.987 0.987 0.025 Ru
0.513 0.513 0.475 Ru
```

* total moment: 0.6 μB/f.u.
* ΔE_f: 0.372 eV/atom

# 8
Material: HfPt2Br
Method: DFT, PBE
State: optimized geometry

Structure (POSCAR):
```
HfPt2Br
1.0
0.000 3.347 3.347
3.347 0.000 3.347
3.347 3.347 0.000
Hf Br Pt
1 1 2
Direct
0.500 0.500 0.500 Hf
0.000 0.000 0.000 Br
0.250 0.250 0.250 Pt
0.750 0.750 0.750 Pt
```

* total moment: 0.0 μB/f.u.
* E_tot: -24.19 eV/cell

# 9
Material: ScZnF5
Method: DFT, PBE
State: optimized geometry

Structure (POSCAR):
```
ScZnF5
1.0
5.204 -0.034 1.940
0.507 5.180 1.940
0.134 0.121 7.994
Sc Zn F
2 2 10
Direct
0.000 0.000 0.000 Sc
0.000 0.000 0.500 Sc
0.448 0.552 0.750 Zn
0.552 0.448 0.250 Zn
0.307 0.222 0.858 F
0.309 0.745 0.538 F
0.222 0.307 0.358 F
0.943 0.057 0.750 F
0.255 0.691 0.962 F
0.745 0.309 0.038 F
0.057 0.943 0.250 F
0.778 0.693 0.642 F
0.691 0.255 0.462 F
0.693 0.778 0.142 F
```

* total moment: 0.0 μB/f.u.
* E_tot: -78.94 eV/cell

# 10
Material: Li2LaTeSe4
Method: DFT, PBE
State: optimized geometry

Structure (POSCAR):
```
Li2LaTeSe4
1.0
-5.069 1.964 6.130
-6.135 -4.262 -3.366
7.226 -3.862 1.721
Li La Te Se
4 2 2 8
Direct
0.500 0.000 0.000 Li
0.500 0.000 0.500 Li
0.000 0.000 0.500 Li
0.500 0.500 0.000 Li
0.000 0.500 0.000 La
0.000 0.500 0.500 La
0.500 0.500 0.500 Te
0.000 0.000 0.000 Te
0.253 0.756 0.000 Se
0.744 0.247 0.500 Se
0.256 0.753 0.500 Se
0.747 0.244 0.000 Se
0.778 0.800 0.049 Se
0.700 0.722 0.451 Se
0.300 0.278 0.549 Se
0.222 0.200 0.951 Se
```

* total moment: 0.0 μB/f.u.
* E_tot: -67.99 eV/cell

# 11
Material: Ca2LaPrTe4
Method: DFT, PBE
State: optimized geometry

Structure (POSCAR):
```
Ca2LaPrTe4
1.0
4.494 0.000 0.000
0.000 7.959 -0.220
0.000 2.739 7.283
Ca La Pr Te
2 1 1 4
Direct
0.000 0.000 0.000 Ca
0.500 0.000 0.500 Ca
0.500 0.500 0.000 La
0.000 0.500 0.500 Pr
0.000 0.759 0.746 Te
0.000 0.241 0.254 Te
0.500 0.758 0.248 Te
0.500 0.242 0.752 Te
```

* total moment: 0.0 μB/f.u.
* E_tot: -38.71 eV/cell

# 12
Material: LiW3C
Method: DFT, PBE
State: optimized geometry

Structure (POSCAR):
```
LiW3C
1.0
-0.600 -0.023 4.107
-2.897 -2.940 -0.440
2.912 -2.930 0.409
C W Li
1 3 1
Direct
0.000 0.000 0.000 C
0.000 0.500 0.000 W
0.000 0.000 0.500 W
0.500 0.000 0.000 W
0.500 0.500 0.500 Li
```

* total moment: 0.0 μB/f.u.
* ΔE_f: 0.483 eV/atom